Computed, not measured: SmZrP after structural relaxation at the GGA-PBE level of DFT.

## Properties
* offset from the most stable computed form: 522 meV/atom
* ΔE_f: -50.1 kJ per mole of atoms

Lattice parameters (Å, degrees): 4.463 4.463 4.102 90.00 90.00 120.00
Fractional positions:
Sm (0.000, 0.000, 0.000)
Zr (0.333, 0.667, 0.500)
P (0.667, 0.333, 0.498)

***

Computed, not measured: MnV2HgIr after structural relaxation at the GGA-PBE level of DFT.

## Properties
* ΔE_f: 204.9 kJ per mole of atoms

Lattice parameters (Å, degrees): 4.937 4.937 4.977 90.00 90.00 90.00
Fractional positions:
Mn (0.000, 0.000, 0.000)
V (0.000, 0.500, 0.500)
V (0.500, 0.000, 0.500)
Hg (0.500, 0.500, 0.500)
Ir (0.500, 0.500, 0.000)